1.
RbDyTe2, optimized geometry, DFT PBE; formation energy (no corrections) = -31.65 kcal/mol of atoms
1.0
4.5082 0.0000 0.0000
2.2541 3.9043 0.0000
2.2541 1.3014 8.6606
Te Rb Dy
2 1 1
Direct
0.0665 0.0665 0.8005 Te
0.2676 0.2676 0.1972 Te
0.4987 0.4987 0.5040 Rb
0.6673 0.6673 0.9982 Dy



2.
RbDyTe4, optimized geometry, DFT PBE; formation energy (no corrections) = -21.41 kcal/mol of atoms; density of states at the Fermi level = 0.1079 states/eV/atom
1.0
6.8652 0.0000 0.0000
0.0000 6.8652 0.0000
0.0000 0.0000 9.2301
Te Dy Rb
8 2 2
Direct
0.6462 0.1462 0.8009 Te
0.3538 0.1462 0.1991 Te
0.8538 0.6462 0.8009 Te
0.6462 0.8538 0.1991 Te
0.8538 0.3538 0.1991 Te
0.3538 0.8538 0.8009 Te
0.1462 0.3538 0.8009 Te
0.1462 0.6462 0.1991 Te
0.0000 0.0000 0.0000 Dy
0.5000 0.5000 0.0000 Dy
0.0000 0.0000 0.5000 Rb
0.5000 0.5000 0.5000 Rb



3.
Rb4Dy3ThTe8, optimized geometry, DFT PBE; formation energy (no corrections) = -30.54 kcal/mol of atoms; density of states at the Fermi level = 0.3142 states/eV/atom
1.0
-0.4404 3.1624 8.4598
-1.4772 -9.3512 3.4187
7.4302 1.3863 -4.9639
Rb Te Dy Th
4 8 3 1
Direct
0.0000 0.0000 0.5000 Rb
0.0000 0.0000 0.0000 Rb
0.5000 0.0000 0.0000 Rb
0.5000 0.0000 0.5000 Rb
0.2693 0.2970 0.0330 Te
0.2668 0.3007 0.5337 Te
0.7307 0.7030 0.9670 Te
0.7638 0.2970 0.5276 Te
0.2362 0.7030 0.9670 Te
0.2362 0.7030 0.4724 Te
0.7638 0.2970 0.0330 Te
0.7332 0.6993 0.4663 Te
0.0000 0.5000 0.5000 Dy
0.5000 0.5000 0.0000 Dy
0.5000 0.5000 0.5000 Dy
0.0000 0.5000 0.0000 Th



Copy entry 2 word for word.
RbDyTe4, optimized geometry, DFT PBE; formation energy (no corrections) = -21.41 kcal/mol of atoms; density of states at the Fermi level = 0.1079 states/eV/atom
1.0
6.8652 0.0000 0.0000
0.0000 6.8652 0.0000
0.0000 0.0000 9.2301
Te Dy Rb
8 2 2
Direct
0.6462 0.1462 0.8009 Te
0.3538 0.1462 0.1991 Te
0.8538 0.6462 0.8009 Te
0.6462 0.8538 0.1991 Te
0.8538 0.3538 0.1991 Te
0.3538 0.8538 0.8009 Te
0.1462 0.3538 0.8009 Te
0.1462 0.6462 0.1991 Te
0.0000 0.0000 0.0000 Dy
0.5000 0.5000 0.0000 Dy
0.0000 0.0000 0.5000 Rb
0.5000 0.5000 0.5000 Rb



> Number 2 is which compound?

RbDyTe4



> Which value of formation energy (no corrections) does entry 1 give?

-31.65 kcal/mol of atoms



Repeat the first record exactly.
RbDyTe2, optimized geometry, DFT PBE; formation energy (no corrections) = -31.65 kcal/mol of atoms
1.0
4.5082 0.0000 0.0000
2.2541 3.9043 0.0000
2.2541 1.3014 8.6606
Te Rb Dy
2 1 1
Direct
0.0665 0.0665 0.8005 Te
0.2676 0.2676 0.1972 Te
0.4987 0.4987 0.5040 Rb
0.6673 0.6673 0.9982 Dy